# 1
Density functional theory data (GGA-PBE) for Ca3CdAu after structural relaxation.

Output
offset from the most stable computed form	0.000	eV/atom
space group	C2/m (12)
E	-25.10	eV for the cell shown

Unit cell a=6.0820 b=6.0820 c=9.8533 alpha=65.38 beta=65.38 gamma=70.47
Fractional positions:
Ca1 0.7094 0.7094 0.7096
Ca2 0.9173 0.9173 0.2917
Au1 0.7505 0.2495 0.0000
Ca3 0.0827 0.0827 0.7083
Ca4 0.6978 0.6978 0.1043
Au2 0.2495 0.7505 0.0000
Cd1 0.7008 0.2992 0.5000
Cd2 0.2992 0.7008 0.5000
Ca5 0.2906 0.2906 0.2904
Ca6 0.3022 0.3022 0.8957


# 2
Density functional theory data (GGA-PBE) for Np3Os after structural relaxation.

Output
space group	Imm2 (44)
E	-49.10	eV for the cell shown

Unit cell a=2.8422 b=5.0778 c=5.8071 alpha=115.93 beta=104.16 gamma=90.00
Fractional positions:
Np1 0.7294 0.9877 0.4588
Np2 0.5000 0.5619 0.0000
Os1 0.0000 0.0881 0.0000
Np3 0.2706 0.5290 0.5412


# 3
Density functional theory data (GGA-PBE) for NdSc3Ag2 after structural relaxation.

Output
space group	P4/mmm (123)
E	-30.39	eV for the cell shown

Unit cell a=3.4438 b=3.4438 c=11.7990 alpha=90.00 beta=90.00 gamma=90.00
Fractional positions:
Ag1 0.5000 0.5000 0.8530
Ag2 0.5000 0.5000 0.1470
Sc1 0.0000 0.0000 0.2895
Nd1 0.5000 0.5000 0.5000
Sc2 0.0000 0.0000 0.0000
Sc3 0.0000 0.0000 0.7105


# 4
Density functional theory data (GGA-PBE) for Th2FeCo4Ge3 after structural relaxation.

Output
space group	P-4m2 (115)
E	-70.67	eV for the cell shown

Unit cell a=4.0534 b=4.0534 c=9.9010 alpha=90.00 beta=90.00 gamma=90.00
Fractional positions:
Co1 0.0000 0.0000 0.0000
Fe1 0.5000 0.5000 0.5000
Co2 0.0000 0.5000 0.3703
Co3 0.5000 0.5000 0.0000
Th1 0.0000 0.5000 0.7436
Ge1 0.0000 0.5000 0.1278
Th2 0.5000 0.0000 0.2564
Co4 0.5000 0.0000 0.6297
Ge2 0.0000 0.0000 0.5000
Ge3 0.5000 0.0000 0.8722


# 5
Density functional theory data (GGA-PBE) for Ti2PO6 after structural relaxation.

Output
uncorrected formation energy	-2636.5	meV/atom
space group	C2/c (15)
E	-149.36	eV for the cell shown

Unit cell a=5.9277 b=8.3671 c=8.3671 alpha=94.41 beta=69.18 gamma=69.18
Fractional positions:
O1 0.1873 0.2297 0.5883
O2 0.5619 0.2606 0.2441
P1 0.2500 0.2488 0.7512
Ti1 0.8259 0.3364 0.1664
O3 0.4381 0.7394 0.7559
O4 0.0052 0.2683 0.9147
O5 0.6873 0.5883 0.2297
O6 0.9381 0.7559 0.7394
O7 0.4948 0.0853 0.7317
Ti2 0.1741 0.6636 0.8336
O8 0.8127 0.7703 0.4117
P2 0.7500 0.7512 0.2488
Ti3 0.3259 0.1664 0.3364
O9 0.9948 0.7317 0.0853
O10 0.3127 0.4117 0.7703
O11 0.0619 0.2441 0.2606
Ti4 0.6741 0.8336 0.6636
O12 0.5052 0.9147 0.2683


# 6
Density functional theory data (GGA-PBE) for CaZnPbCl6 after structural relaxation.

Output
uncorrected formation energy	-1520.6	meV/atom
space group	P-31c (163)
E	-63.50	eV for the cell shown

Unit cell a=6.7786 b=6.7786 c=12.4537 alpha=90.00 beta=90.00 gamma=120.00
Fractional positions:
Zn1 0.6667 0.3333 0.2500
Cl1 0.6574 0.6297 0.1339
Cl2 0.6297 0.9723 0.8661
Cl3 0.3703 0.3426 0.3661
Pb1 0.0000 0.0000 0.0000
Ca1 0.3333 0.6667 0.2500
Cl4 0.0277 0.3703 0.6339
Zn2 0.3333 0.6667 0.7500
Cl5 0.0277 0.6574 0.8661
Cl6 0.6297 0.6574 0.6339
Cl7 0.9723 0.6297 0.3661
Cl8 0.3426 0.3703 0.8661
Cl9 0.9723 0.3426 0.1339
Cl10 0.3426 0.9723 0.6339
Pb2 0.0000 0.0000 0.5000
Cl11 0.6574 0.0277 0.3661
Cl12 0.3703 0.0277 0.1339
Ca2 0.6667 0.3333 0.7500


# 7
Density functional theory data (GGA-PBE) for Dy2YGa after structural relaxation.

Output
offset from the most stable computed form	0.039	eV/atom
space group	P4/mmm (123)
E	-19.65	eV for the cell shown

Unit cell a=4.7502 b=4.7184 c=4.7184 alpha=90.00 beta=90.00 gamma=90.00
Fractional positions:
Y1 0.5000 0.5000 0.5000
Dy1 0.0000 0.5000 0.0000
Ga1 0.5000 0.0000 0.0000
Dy2 0.0000 0.0000 0.5000


# 8
Density functional theory data (GGA-PBE) for BaLa2Ir after structural relaxation.

Output
offset from the most stable computed form	0.548	eV/atom
space group	Fm-3m (225)
E	-20.29	eV for the cell shown

Unit cell a=5.4315 b=5.4315 c=5.4315 alpha=60.00 beta=60.00 gamma=60.00
Fractional positions:
La1 0.7500 0.7500 0.7500
Ba1 0.0000 0.0000 0.0000
La2 0.2500 0.2500 0.2500
Ir1 0.5000 0.5000 0.5000


# 9
Density functional theory data (GGA-PBE) for Dy6Cd2Tc after structural relaxation.

Output
offset from the most stable computed form	0.000	eV/atom
space group	P-62m (189)
E	-41.17	eV for the cell shown

Unit cell a=3.9593 b=8.4857 c=8.4847 alpha=120.00 beta=90.00 gamma=90.00
Fractional positions:
Dy1 0.0000 0.0000 0.2410
Cd1 0.0000 0.6666 0.3333
Tc1 0.5000 0.0000 0.0000
Dy2 0.0000 0.2411 0.0000
Dy3 0.0000 0.7590 0.7590
Cd2 0.0000 0.3333 0.6667
Dy4 0.5000 0.3911 0.3912
Dy5 0.5000 0.9999 0.6088
Dy6 0.5000 0.6090 0.0000


# 10
Density functional theory data (GGA-PBE) for PaAlZn after structural relaxation.

Output
space group	I4mm (107)
E	-14.68	eV for the cell shown

Unit cell a=2.9768 b=2.9768 c=6.7601 alpha=102.72 beta=102.72 gamma=90.00
Fractional positions:
Zn1 0.9366 0.9366 0.8731
Al1 0.2965 0.2965 0.5929
Pa1 0.6170 0.6170 0.2339


# 11
Density functional theory data (GGA-PBE) for LiTaIO2 after structural relaxation.

Output
offset from the most stable computed form	1.992	eV/atom
uncorrected formation energy	335.0	meV/atom
space group	P4/mmm (123)
E	-23.56	eV for the cell shown

Unit cell a=3.9721 b=3.9721 c=4.4418 alpha=90.00 beta=90.00 gamma=90.00
Fractional positions:
Li1 0.0000 0.0000 0.0000
I1 0.0000 0.0000 0.5000
Ta1 0.5000 0.5000 0.5000
O1 0.0000 0.5000 0.0000
O2 0.5000 0.0000 0.0000


# 12
Density functional theory data (GGA-PBE) for RbRhF2 after structural relaxation.

Output
offset from the most stable computed form	0.144	eV/atom
uncorrected formation energy	-1183.8	meV/atom
space group	I-42d (122)
E	-33.59	eV for the cell shown

Unit cell a=5.0466 b=5.0466 c=7.7108 alpha=70.90 beta=70.90 gamma=90.00
Fractional positions:
Rh1 0.7500 0.2500 0.5000
Rb1 0.2500 0.7500 0.5000
F1 0.3750 0.2717 0.7500
Rh2 0.0000 0.0000 0.0000
F2 0.7283 0.1250 0.2500
Rb2 0.5000 0.5000 0.0000
F3 0.0217 0.6250 0.2500
F4 0.8750 0.9783 0.7500


no.,M_tot (μB per atom)
1,0.000
2,0.578
3,0.000
4,0.277
5,0.112
6,0.000
7,0.078
8,0.000
9,0.000
10,0.001
11,0.000
12,0.500